Entry 1:
Density functional theory data (PBE) for a relaxed BeInP4 crystal.

Output
Theoretical density ... 3.0 g/cm³
Uncorrected energy ... -3.959 eV per atom
Formation energy from the elements ... 16.7 kcal/mol of atoms

Unit cell a=5.7638 b=5.7638 c=5.7638 alpha=60.00 beta=60.00 gamma=60.00
Atoms (fractional coordinates):
Be 0.0000 0.0000 0.0000
In 0.7500 0.7500 0.7500
P 0.3472 0.3472 0.3472
P 0.3472 0.3472 0.9583
P 0.3472 0.9583 0.3472
P 0.9583 0.3472 0.3472

Entry 2:
Density functional theory data (PBE) for a relaxed BeInP crystal.

Output
E above lowest polymorph ... 311.4 meV per atom
Theoretical density ... 4.5 g/cm³
Uncorrected energy ... -3.704 eV per atom
Formation energy from the elements ... 5.9 kcal/mol of atoms

Unit cell a=2.8873 b=3.3704 c=11.6172 alpha=90.00 beta=90.00 gamma=90.00
Atoms (fractional coordinates):
Be 0.0000 0.0000 0.0000
Be 0.5000 0.5000 0.5000
In 0.0000 0.0000 0.2274
In 0.5000 0.5000 0.7274
P 0.0000 0.0000 0.4568
P 0.5000 0.5000 0.9568

Entry 3:
Density functional theory data (PBE) for a relaxed BeInP3 crystal.

Output
E above lowest polymorph ... 0.0 meV per atom
Theoretical density ... 4.3 g/cm³
Uncorrected energy ... -3.940 eV per atom
Formation energy from the elements ... 13.8 kcal/mol of atoms

Unit cell a=4.3875 b=4.3875 c=4.3875 alpha=90.00 beta=90.00 gamma=90.00
Atoms (fractional coordinates):
Be 0.0000 0.0000 0.0000
In 0.5000 0.5000 0.5000
P 0.0000 0.0000 0.5000
P 0.0000 0.5000 0.0000
P 0.5000 0.0000 0.0000

Entry 4:
Density functional theory data (PBE) for a relaxed BeInP crystal.

Output
E above lowest polymorph ... 811.4 meV per atom
Theoretical density ... 4.2 g/cm³
Uncorrected energy ... -3.204 eV per atom
Formation energy from the elements ... 17.4 kcal/mol of atoms

Unit cell a=6.2429 b=6.2429 c=6.2429 alpha=90.00 beta=90.00 gamma=90.00
Atoms (fractional coordinates):
Be 0.0000 0.0000 0.0000
Be 0.0000 0.5000 0.5000
Be 0.5000 0.0000 0.5000
Be 0.5000 0.5000 0.0000
In 0.2500 0.2500 0.2500
In 0.2500 0.7500 0.7500
In 0.7500 0.2500 0.7500
In 0.7500 0.7500 0.2500
P 0.0000 0.0000 0.5000
P 0.0000 0.5000 0.0000
P 0.5000 0.0000 0.0000
P 0.5000 0.5000 0.5000

Entry 5:
Density functional theory data (PBE) for a relaxed Be3InP crystal.

Output
E above lowest polymorph ... 819.5 meV per atom
Theoretical density ... 3.1 g/cm³
Uncorrected energy ... -2.448 eV per atom
Formation energy from the elements ... 32.7 kcal/mol of atoms

Unit cell a=4.5060 b=4.5060 c=4.5060 alpha=90.00 beta=90.00 gamma=90.00
Atoms (fractional coordinates):
Be 0.0000 0.0000 0.5000
Be 0.0000 0.5000 0.0000
Be 0.5000 0.0000 0.0000
In 0.0000 0.0000 0.0000
P 0.5000 0.5000 0.5000

Entry 6:
Density functional theory data (PBE) for a relaxed BeInP3 crystal.

Output
E above lowest polymorph ... 1117.1 meV per atom
Theoretical density ... 2.9 g/cm³
Uncorrected energy ... -2.823 eV per atom
Formation energy from the elements ... 39.6 kcal/mol of atoms

Unit cell a=4.9972 b=4.9972 c=4.9972 alpha=90.00 beta=90.00 gamma=90.00
Atoms (fractional coordinates):
Be 0.0000 0.0000 0.0000
In 0.5000 0.5000 0.5000
P 0.0000 0.5000 0.5000
P 0.5000 0.0000 0.5000
P 0.5000 0.5000 0.0000